No. 1
The following is a GGA-PBE calculation of a geometry-optimized Dy4Cd2InGa structure, from Alexandria via LeMat-Bulk.

```
Dy4Cd2InGa
1.0
-1.3966 4.8249 1.4795
-4.6493 0.7988 2.2727
1.5062 0.5412 8.9234
Dy Cd In Ga
4 2 1 1
Cartesian
-0.9933 2.5991 9.1190
-4.6852 5.1085 6.7168
0.1455 1.0564 5.9588
-3.5463 3.5658 3.5565
-3.3755 4.6126 9.5703
-1.1641 1.5523 3.1052
0.0000 0.0000 0.0000
-2.2698 3.0824 6.3378
```

Properties
Density of states at the Fermi level (states/eV per atom): 0.9866
Total magnetic moment (μB per atom): 0.000
Calculated volume (Å³ per atom): 25.37
Energy of formation (eV per atom): -0.428

=====

No. 2
The following is a GGA-PBE calculation of a geometry-optimized LaReSb2I structure, from Alexandria via LeMat-Bulk.

```
LaReSb2I
1.0
-1.0019 -0.0753 6.0476
-5.9737 -0.9456 -1.0015
0.9381 -6.0117 0.0806
I Re Sb La
1 1 2 1
Cartesian
0.4690 -3.0059 0.0403
-3.0188 -3.5163 2.5634
-2.9869 -0.4728 -0.5007
-0.5010 -0.0376 3.0238
0.0000 0.0000 0.0000
```

Properties
Polymorph energy (0 for the lowest one) (kJ/mol of formula units): 557
Density of states at the Fermi level (states/eV per atom): 0.8671
ΔE_f (raw) (meV per atom): 1338
Total magnetic moment (μB per atom): 0.905
Calculated volume (Å³ per atom): 45.74

=====

No. 3
The following is a GGA-PBE calculation of a geometry-optimized NaTlGe structure, from Alexandria via LeMat-Bulk.

```
NaTlGe
1.0
-4.1909 2.3725 3.3377
2.6730 -4.7794 3.7018
3.7776 2.3062 0.2303
Na Tl Ge
2 2 2
Cartesian
-3.5506 1.9330 3.5049
0.9003 -1.2783 4.7860
-2.3044 -0.3689 5.5577
-0.4708 1.1249 3.0494
4.0992 -2.3025 4.7581
2.5188 0.5371 2.4779
```

Properties
Density of states at the Fermi level (states/eV per atom): 0.3658
Total magnetic moment (μB per atom): 0.000
Calculated volume (Å³ per atom): 25.49
Energy of formation (eV per atom): 0.042

=====

No. 4
The following is a GGA-PBE calculation of a geometry-optimized Sm3ZnGa structure, from Alexandria via LeMat-Bulk.

```
Sm3ZnGa
1.0
0.7308 2.8590 4.2377
-3.4578 -2.8715 2.5336
7.6185 -4.7372 5.0285
Sm Zn Ga
6 2 2
Cartesian
0.7467 0.7807 4.5307
5.9840 -3.6721 6.6317
3.3648 -1.4453 5.5810
-1.3495 -2.0830 3.6779
4.6186 -3.6768 10.0166
1.2697 -4.3098 4.7287
0.3059 -1.7502 6.3143
5.0594 -1.1459 8.2331
2.9399 -3.9897 7.3709
1.6946 -1.7654 2.9387
```

Properties
Polymorph energy (0 for the lowest one) (kJ/mol of formula units): 0
Density of states at the Fermi level (states/eV per atom): 1.0424
Total magnetic moment (μB per atom): 0.000
Calculated volume (Å³ per atom): 26.52
Energy of formation (eV per atom): -0.344

=====

No. 5
The following is a GGA-PBE calculation of a geometry-optimized HfMg2Pd2 structure, from Alexandria via LeMat-Bulk.

```
HfMg2Pd2
1.0
3.7614 0.0000 0.0000
0.0000 3.7614 0.0000
1.8807 1.8807 6.5451
Mg Hf Pd
2 1 2
Cartesian
3.7614 1.8807 3.2725
1.8807 3.7614 3.2725
0.0000 0.0000 0.0000
1.8807 1.8807 1.3118
3.7614 3.7614 5.2332
```

Properties
Polymorph energy (0 for the lowest one) (kJ/mol of formula units): 87
Density of states at the Fermi level (states/eV per atom): 0.5940
Total magnetic moment (μB per atom): 0.000
Calculated volume (Å³ per atom): 18.52
Energy of formation (eV per atom): -0.356

=====

No. 6
The following is a GGA-PBE calculation of a geometry-optimized BaAs2Pb structure, from Alexandria via LeMat-Bulk.

```
BaAs2Pb
1.0
7.9089 0.0000 0.0000
0.0000 7.9089 0.0000
3.9545 3.9545 4.4059
Pb As Ba
2 4 2
Cartesian
0.0000 0.0000 0.0000
7.9089 3.9545 2.2029
6.4019 1.9772 1.1015
1.5070 5.9317 1.1015
5.9317 5.4615 3.3044
9.8862 10.3564 3.3044
3.9545 3.9545 0.0000
3.9545 7.9089 2.2029
```

Properties
Density of states at the Fermi level (states/eV per atom): 0.0014
Total magnetic moment (μB per atom): 0.000
Calculated volume (Å³ per atom): 34.45
Energy of formation (eV per atom): -0.393

=====

No. 7
The following is a GGA-PBE calculation of a geometry-optimized GeTePd2 structure, from Alexandria via LeMat-Bulk.

```
GeTePd2
1.0
-2.9541 -2.7308 -0.6617
-1.1748 -2.4993 2.9992
-5.1017 1.9038 2.3593
Ge Te Pd
1 1 2
Cartesian
0.0000 0.0000 0.0000
-4.6153 -1.6631 2.3484
-2.0218 -1.1114 1.0530
-7.2087 -2.2149 3.6438
```

Properties
Polymorph energy (0 for the lowest one) (kJ/mol of formula units): 11
Density of states at the Fermi level (states/eV per atom): 0.4931
ΔE_f (raw) (meV per atom): -276
Total magnetic moment (μB per atom): 0.000
Calculated volume (Å³ per atom): 19.60